1.
This record from the Alexandria database describes a geometry-optimized MgMn3Zn structure. The functional is PBE.

Energy above the most stable polymorph in this dataset in meV per atom: 0
Formation energy from the elements in eV per formula unit: 4.2

a = 4.636 Å, b = 4.636 Å, c = 4.636 Å
α = 90.00°, β = 90.00°, γ = 90.00°
Each line ends with the local moment (μB).
Fractional coordinates of all 5 atoms:
Zn (0.000, 0.000, 0.000)  -0.08
Mn (0.000, 0.500, 0.000)  3.68
Mn (0.000, 0.000, 0.500)  3.87
Mn (0.500, 0.000, 0.000)  3.51
Mg (0.500, 0.500, 0.500)  -0.06

***

2.
This record from the Alexandria database describes a geometry-optimized CaSiSb structure. The functional is PBE.

Energy above the most stable polymorph in this dataset in meV per atom: 280
Formation energy without anion corrections in kJ/mol of formula units: 12

a = 5.058 Å, b = 5.058 Å, c = 5.058 Å
α = 60.00°, β = 60.00°, γ = 60.00°
Fractional coordinates of all 3 atoms:
Ca (0.500, 0.500, 0.500)
Sb (0.750, 0.750, 0.750)
Si (0.000, 0.000, 0.000)

***

3.
This record from the Alexandria database describes a geometry-optimized KZnFe3 structure. The functional is PBE.

Energy above the most stable polymorph in this dataset in meV per atom: 0
Formation energy from the elements in eV per formula unit: 6.2

a = 4.728 Å, b = 4.728 Å, c = 4.728 Å
α = 90.00°, β = 90.00°, γ = 90.00°
Each line ends with the local moment (μB).
Fractional coordinates of all 5 atoms:
K (0.500, 0.500, 0.500)  -0.01
Zn (0.000, 0.000, 0.000)  -0.08
Fe (0.000, 0.500, 0.000)  3.13
Fe (0.000, 0.000, 0.500)  2.96
Fe (0.500, 0.000, 0.000)  2.87

***

4.
This record from the Alexandria database describes a geometry-optimized Mg2Tl structure. The functional is PBE.

Formation energy from the elements in eV per formula unit: -0.1

a = 5.991 Å, b = 5.991 Å, c = 7.799 Å
α = 70.29°, β = 70.29°, γ = 34.00°
Fractional coordinates of all 6 atoms:
Mg (0.995, 0.995, 0.988)
Mg (0.669, 0.669, 0.657)
Mg (0.386, 0.386, 0.732)
Mg (0.060, 0.060, 0.401)
Tl (0.348, 0.348, 0.335)
Tl (0.708, 0.708, 0.053)

***

5.
This record from the Alexandria database describes a geometry-optimized LiHgBiPd structure. The functional is PBE.

Formation energy from the elements in eV per formula unit: -1.1

a = 4.834 Å, b = 4.834 Å, c = 4.834 Å
α = 60.00°, β = 60.00°, γ = 60.00°
Fractional coordinates of all 4 atoms:
Li (0.000, 0.000, 0.000)
Bi (0.250, 0.250, 0.250)
Pd (0.500, 0.500, 0.500)
Hg (0.750, 0.750, 0.750)

***

6.
This record from the Alexandria database describes a geometry-optimized NdGa2Ge2 structure. The functional is PBE.

Formation energy from the elements in eV per formula unit: -1.1

a = 4.156 Å, b = 4.156 Å, c = 8.377 Å
α = 75.64°, β = 75.64°, γ = 60.00°
Fractional coordinates of all 5 atoms:
Nd (0.000, 0.000, 0.000)
Ga (0.223, 0.223, 0.331)
Ga (0.777, 0.777, 0.669)
Ge (0.586, 0.586, 0.241)
Ge (0.414, 0.414, 0.759)

***

7.
This record from the Alexandria database describes a geometry-optimized Cd2H5Ir structure. The functional is PBE.

Uncorrected energy in Ha/atom: -0.1261

a = 4.671 Å, b = 4.671 Å, c = 5.019 Å
α = 117.73°, β = 117.72°, γ = 90.00°
Fractional coordinates of all 8 atoms:
Cd (0.241, 0.741, 0.482)
Cd (0.741, 0.241, 0.482)
H (0.752, 0.258, 0.010)
H (0.258, 0.258, 0.009)
H (0.752, 0.752, 0.010)
H (0.258, 0.752, 0.010)
H (0.779, 0.778, 0.557)
Ir (0.997, 0.997, 0.994)

***

8.
This record from the Alexandria database describes a geometry-optimized CaGdAu structure. The functional is PBE.

Energy above the most stable polymorph in this dataset in meV per atom: 111
Formation energy from the elements in eV per formula unit: -1.2

a = 6.714 Å, b = 4.129 Å, c = 4.129 Å
α = 120.00°, β = 90.00°, γ = 90.00°
Each line ends with the local moment (μB).
Fractional coordinates of all 3 atoms:
Ca (0.596, 0.667, 0.333)  0.00
Gd (0.077, 0.000, 0.000)  7.05
Au (0.326, 0.333, 0.667)  0.01

***

9.
This record from the Alexandria database describes a geometry-optimized TeMoPdN2 structure. The functional is PBE.

Energy above the most stable polymorph in this dataset in meV per atom: 1378
Formation energy without anion corrections in kJ/mol of formula units: 905

a = 3.891 Å, b = 3.891 Å, c = 5.703 Å
α = 90.00°, β = 90.00°, γ = 90.00°
Fractional coordinates of all 5 atoms:
Mo (0.500, 0.500, 0.500)
Te (0.000, 0.000, 0.500)
Pd (0.000, 0.000, 0.000)
N (0.000, 0.500, 0.000)
N (0.500, 0.000, 0.000)

***

10.
This record from the Alexandria database describes a geometry-optimized Sr2CdCuAu6 structure. The functional is PBE.

Formation energy from the elements in eV per formula unit: -2.4

a = 7.200 Å, b = 7.200 Å, c = 7.200 Å
α = 60.00°, β = 60.00°, γ = 90.00°
Fractional coordinates of all 10 atoms:
Sr (0.250, 0.750, 0.500)
Sr (0.750, 0.250, 0.500)
Cd (0.500, 0.500, 0.000)
Cu (0.000, 0.000, 0.000)
Au (0.239, 0.761, 0.000)
Au (0.760, 0.760, 0.000)
Au (0.240, 0.240, 0.521)
Au (0.761, 0.239, 0.000)
Au (0.240, 0.240, 0.000)
Au (0.760, 0.760, 0.479)

***

11.
This record from the Alexandria database describes a geometry-optimized K2In3SnHg4 structure. The functional is PBE.

Formation energy from the elements in eV per formula unit: -1.4

a = 4.965 Å, b = 4.965 Å, c = 12.377 Å
α = 90.00°, β = 90.00°, γ = 90.00°
Fractional coordinates of all 10 atoms:
K (0.500, 0.000, 0.247)
K (0.000, 0.500, 0.753)
In (0.000, 0.000, 0.500)
In (0.500, 0.000, 0.871)
In (0.000, 0.500, 0.129)
Sn (0.500, 0.500, 0.500)
Hg (0.500, 0.500, 0.000)
Hg (0.000, 0.000, 0.000)
Hg (0.500, 0.000, 0.640)
Hg (0.000, 0.500, 0.360)

***

12.
This record from the Alexandria database describes a geometry-optimized TcAg2As structure. The functional is PBE.

Formation energy from the elements in eV per formula unit: 1.7

a = 5.500 Å, b = 5.500 Å, c = 5.500 Å
α = 146.49°, β = 129.99°, γ = 61.55°
Fractional coordinates of all 4 atoms:
As (0.474, 0.474, 0.000)
Tc (0.282, 0.782, 0.500)
Ag (0.010, 0.010, 0.000)
Ag (0.734, 0.234, 0.500)

***

13.
This record from the Alexandria database describes a geometry-optimized RbTl3Se3 structure. The functional is PBE.

Energy above the most stable polymorph in this dataset in meV per atom: 0
Formation energy without anion corrections in kJ/mol of formula units: -294

a = 5.722 Å, b = 10.065 Å, c = 10.065 Å
α = 120.00°, β = 90.00°, γ = 90.00°
Fractional coordinates of all 14 atoms:
Rb (0.250, 0.667, 0.333)
Rb (0.750, 0.333, 0.667)
Tl (0.750, 0.979, 0.670)
Tl (0.750, 0.691, 0.021)
Tl (0.250, 0.670, 0.691)
Tl (0.750, 0.330, 0.309)
Tl (0.250, 0.309, 0.979)
Tl (0.250, 0.021, 0.330)
Se (0.750, 0.672, 0.629)
Se (0.750, 0.957, 0.328)
Se (0.250, 0.629, 0.957)
Se (0.750, 0.371, 0.043)
Se (0.250, 0.043, 0.672)
Se (0.250, 0.328, 0.371)

***

14.
This record from the Alexandria database describes a geometry-optimized CaCr2FeBr structure. The functional is PBE.

Formation energy without anion corrections in kJ/mol of formula units: 471

a = 4.779 Å, b = 4.569 Å, c = 4.779 Å
α = 90.00°, β = 90.00°, γ = 90.00°
Each line ends with the local moment (μB).
Fractional coordinates of all 5 atoms:
Cr (0.000, 0.000, 0.500)  -3.37
Cr (0.500, 0.000, 0.000)  -3.32
Ca (0.500, 0.500, 0.500)  -0.01
Fe (0.000, 0.500, 0.000)  2.16
Br (0.000, 0.000, 0.000)  0.04